<A>
Density functional theory data (GGA-PBE) for a relaxed PmPr12Dy7 crystal.

Values from the calculation:
The density of states at the Fermi level is 33.91 states/eV per cell. The value obtained for the magnetization is 0.000 μB per formula unit. As for the space group: No. 148.

Structure (CIF):
```
data_PmPr12Dy7
_symmetry_space_group_name_H-M 'P 1'
_symmetry_Int_Tables_number 1
_cell_length_a 9.505
_cell_length_b 9.505
_cell_length_c 9.505
_cell_angle_alpha 107.86
_cell_angle_beta 107.86
_cell_angle_gamma 107.86
loop_
_symmetry_equiv_pos_as_xyz
'x,y,z'
loop_
_atom_site_label
_atom_site_type_symbol
_atom_site_fract_x
_atom_site_fract_y
_atom_site_fract_z
Pr1 Pr 0.622 0.779 0.328
Pr2 Pr 0.328 0.622 0.779
Pr3 Pr 0.705 0.593 0.947
Pr4 Pr 0.672 0.378 0.221
Pr5 Pr 0.221 0.672 0.378
Pr6 Pr 0.947 0.705 0.593
Pr7 Pr 0.378 0.221 0.672
Pr8 Pr 0.593 0.947 0.705
Pr9 Pr 0.779 0.328 0.622
Pr10 Pr 0.295 0.407 0.053
Pr11 Pr 0.407 0.053 0.295
Pr12 Pr 0.053 0.295 0.407
Dy1 Dy 0.500 0.500 0.500
Dy2 Dy 0.007 0.895 0.319
Dy3 Dy 0.681 0.993 0.105
Dy4 Dy 0.105 0.681 0.993
Dy5 Dy 0.895 0.319 0.007
Dy6 Dy 0.993 0.105 0.681
Dy7 Dy 0.319 0.007 0.895
Pm1 Pm 0.000 0.000 0.000
```

---

<B>
Density functional theory data (GGA-PBE) for a relaxed PmPr12Dy7 crystal.

Values from the calculation:
The density of states at the Fermi level is 28.28 states/eV per cell. The value obtained for the magnetization is 0.000 μB per formula unit. As for the space group: No. 148.

Structure (CIF):
```
data_PmPr12Dy7
_symmetry_space_group_name_H-M 'P 1'
_symmetry_Int_Tables_number 1
_cell_length_a 6.293
_cell_length_b 11.589
_cell_length_c 11.589
_cell_angle_alpha 116.80
_cell_angle_beta 100.43
_cell_angle_gamma 100.43
loop_
_symmetry_equiv_pos_as_xyz
'x,y,z'
loop_
_atom_site_label
_atom_site_type_symbol
_atom_site_fract_x
_atom_site_fract_y
_atom_site_fract_z
Pr1 Pr 0.501 0.589 0.412
Pr2 Pr 0.088 0.177 0.589
Pr3 Pr 0.579 0.647 0.001
Pr4 Pr 0.933 0.354 0.353
Pr5 Pr 0.089 0.588 0.177
Pr6 Pr 0.421 0.353 0.999
Pr7 Pr 0.067 0.646 0.647
Pr8 Pr 0.911 0.412 0.823
Pr9 Pr 0.578 0.999 0.646
Pr10 Pr 0.422 0.001 0.354
Pr11 Pr 0.499 0.411 0.588
Pr12 Pr 0.912 0.823 0.411
Dy1 Dy 0.370 0.246 0.246
Dy2 Dy 0.877 0.001 0.246
Dy3 Dy 0.123 0.999 0.754
Dy4 Dy 0.500 0.000 0.000
Dy5 Dy 0.876 0.246 0.999
Dy6 Dy 0.630 0.754 0.754
Dy7 Dy 0.124 0.754 0.001
Pm1 Pm 0.000 0.000 0.000
```

---

Relative energies in meV/atom: <A> 0; <B> 89